No. 1
! TlCdW2 SCAN PBEsol geometry; values from VASP
&SYSTEM
  ibrav = 0, nat = 4, ntyp = 3
/
ATOMIC_SPECIES
W 183.84 W.upf
Cd 112.41 Cd.upf
Tl 204.38 Tl.upf
ATOMIC_POSITIONS crystal
W 0.000 0.500 0.000
W 0.000 0.000 0.500
Cd 0.500 0.000 0.000
Tl 0.500 0.500 0.500
CELL_PARAMETERS angstrom
-1.418 2.410 -0.169
-4.104 -2.578 -2.316
-0.031 0.358 5.360
! magnetization = 0.47 μB per formula unit
! polymorph energy (0 for the lowest one) = 0.1718 eV per atom
! calculated formation energy = 1.06 eV per atom

=====

No. 2
! TlCdW2 SCAN PBEsol geometry; values from VASP
&SYSTEM
  ibrav = 0, nat = 4, ntyp = 3
/
ATOMIC_SPECIES
W 183.84 W.upf
Cd 112.41 Cd.upf
Tl 204.38 Tl.upf
ATOMIC_POSITIONS crystal
W 0.025 0.025 0.051
Cd 0.490 0.490 0.981
W 0.724 0.224 0.448
Tl 0.260 0.760 0.521
CELL_PARAMETERS angstrom
3.317 0.000 0.000
0.000 4.782 0.000
-1.658 -2.391 4.697
! magnetization = 0.00 μB per formula unit
! polymorph energy (0 for the lowest one) = 0.0000 eV per atom
! calculated formation energy = 0.89 eV per atom

=====

No. 3
! Y2Tl2Cd SCAN PBEsol geometry; values from VASP
&SYSTEM
  ibrav = 0, nat = 10, ntyp = 3
/
ATOMIC_SPECIES
Tl 204.38 Tl.upf
Y 88.91 Y.upf
Cd 112.41 Cd.upf
ATOMIC_POSITIONS crystal
Tl 0.000 0.863 0.637
Y 0.500 0.668 0.832
Cd 0.000 0.500 0.500
Y 0.500 0.832 0.332
Tl 0.000 0.363 0.863
Tl 0.000 0.637 0.137
Y 0.500 0.168 0.668
Y 0.500 0.332 0.168
Cd 0.000 0.000 0.000
Tl 0.000 0.137 0.363
CELL_PARAMETERS angstrom
-3.309 2.060 -2.186
-2.727 -6.735 -2.219
-4.318 -0.309 6.244
! magnetization = 0.00 μB per formula unit
! calculated formation energy = -0.53 eV per atom

=====

No. 4
! YTl2Cd SCAN PBEsol geometry; values from VASP
&SYSTEM
  ibrav = 0, nat = 4, ntyp = 3
/
ATOMIC_SPECIES
Cd 112.41 Cd.upf
Tl 204.38 Tl.upf
Y 88.91 Y.upf
ATOMIC_POSITIONS crystal
Cd 0.000 0.000 0.000
Tl 0.747 0.747 0.760
Tl 0.253 0.253 0.240
Y 0.500 0.500 0.500
CELL_PARAMETERS angstrom
3.451 0.000 0.000
1.725 2.989 0.000
1.725 0.996 9.996
! magnetization = 0.00 μB per formula unit
! polymorph energy (0 for the lowest one) = 0.3132 eV per atom
! calculated formation energy = -0.08 eV per atom

=====

No. 5
! YTl2Cd SCAN PBEsol geometry; values from VASP
&SYSTEM
  ibrav = 0, nat = 4, ntyp = 3
/
ATOMIC_SPECIES
Tl 204.38 Tl.upf
Cd 112.41 Cd.upf
Y 88.91 Y.upf
ATOMIC_POSITIONS crystal
Tl 0.750 0.250 0.500
Tl 0.000 0.000 0.000
Cd 0.250 0.750 0.500
Y 0.500 0.500 0.000
CELL_PARAMETERS angstrom
4.509 0.000 0.000
0.000 4.509 0.000
-2.255 -2.255 4.849
! magnetization = 0.00 μB per formula unit
! polymorph energy (0 for the lowest one) = 0.0874 eV per atom
! calculated formation energy = -0.31 eV per atom

=====

No. 6
! Y2TlCd2 SCAN PBEsol geometry; values from VASP
&SYSTEM
  ibrav = 0, nat = 10, ntyp = 3
/
ATOMIC_SPECIES
Y 88.91 Y.upf
Cd 112.41 Cd.upf
Tl 204.38 Tl.upf
ATOMIC_POSITIONS crystal
Y 0.500 0.330 0.170
Cd 0.000 0.371 0.871
Y 0.500 0.170 0.670
Cd 0.000 0.129 0.371
Y 0.500 0.830 0.330
Cd 0.000 0.629 0.129
Tl 0.000 0.000 0.000
Cd 0.000 0.871 0.629
Y 0.500 0.670 0.830
Tl 0.000 0.500 0.500
CELL_PARAMETERS angstrom
4.414 0.000 0.000
0.000 7.550 0.000
0.000 0.000 7.550
! magnetization = 0.00 μB per formula unit
! calculated formation energy = -0.42 eV per atom

=====

No. 7
! YTl2Cd SCAN PBEsol geometry; values from VASP
&SYSTEM
  ibrav = 0, nat = 4, ntyp = 3
/
ATOMIC_SPECIES
Cd 112.41 Cd.upf
Tl 204.38 Tl.upf
Y 88.91 Y.upf
ATOMIC_POSITIONS crystal
Cd 0.500 0.000 0.000
Tl 0.000 0.500 0.000
Y 0.500 0.500 0.500
Tl 0.000 0.000 0.500
CELL_PARAMETERS angstrom
-0.355 1.478 4.188
-3.398 -3.074 0.797
3.154 -3.131 1.372
! magnetization = 0.00 μB per formula unit
! polymorph energy (0 for the lowest one) = 0.0000 eV per atom
! calculated formation energy = -0.39 eV per atom

=====

No. 8
! Tl2ZnCd SCAN PBEsol geometry; values from VASP
&SYSTEM
  ibrav = 0, nat = 4, ntyp = 3
/
ATOMIC_SPECIES
Cd 112.41 Cd.upf
Zn 65.41 Zn.upf
Tl 204.38 Tl.upf
ATOMIC_POSITIONS crystal
Cd 0.000 0.500 0.500
Zn 0.500 0.500 0.000
Tl 0.000 0.000 0.000
Tl 0.500 0.000 0.500
CELL_PARAMETERS angstrom
-3.597 0.258 2.788
1.890 -3.043 2.720
2.045 3.352 2.329
! magnetization = 0.00 μB per formula unit
! polymorph energy (0 for the lowest one) = 0.0197 eV per atom
! calculated formation energy = 0.20 eV per atom